First-principles (PBE-GGA) data for crystalline La3Pr5Nd4 at its relaxed geometry, as listed in Alexandria.

Computed properties:
- excess energy over the best structure of this formula in the dataset (eV/atom) = 0.000
- total magnetic moment (μB per atom) = 0.000
- ΔE_f (eV/f.u.) = 0.15
- DOS(E_F) (states/eV/cell) = 21.35
- calculated density (Mg/m³) = 6.5

Cell: 6.434 7.408 9.112 Å, 90.10 90.08 90.08°
Space group P-1 (No. 2)
Asymmetric unit:
1 La 0.000 0.000 0.000 (multiplicity 1)
2 La 0.166 0.750 0.667 (multiplicity 2)
3 Pr 0.000 0.500 0.000 (multiplicity 1)
4 Pr 0.333 0.000 0.334 (multiplicity 2)
5 Pr 0.499 0.251 0.000 (multiplicity 2)
6 Nd 0.167 0.251 0.666 (multiplicity 2)
7 Nd 0.333 0.500 0.334 (multiplicity 2)

---

First-principles (PBE-GGA) data for crystalline YMg2Al at its relaxed geometry, as listed in Alexandria.

Computed properties:
- total magnetic moment (μB per atom) = 0.000
- ΔE_f (eV/f.u.) = -0.14
- DOS(E_F) (states/eV/cell) = 4.08
- calculated density (Mg/m³) = 2.9

Cell: 10.251 3.294 5.806 Å, 90.00 102.44 90.00°
Space group Cm (No. 8)
Asymmetric unit:
1 Y 0.000 0.000 0.000 (multiplicity 2)
2 Mg 0.021 0.500 0.515 (multiplicity 2)
3 Mg 0.268 0.500 0.304 (multiplicity 2)
4 Al 0.251 0.000 0.761 (multiplicity 2)

---

First-principles (PBE-GGA) data for crystalline PaZnNiAg at its relaxed geometry, as listed in Alexandria.

Computed properties:
- total magnetic moment (μB per atom) = 0.000
- ΔE_f (eV/f.u.) = 0.14
- DOS(E_F) (states/eV/cell) = 21.89
- calculated density (Mg/m³) = 10.4

Cell: 6.657 6.657 6.657 Å, 90.00 90.00 90.00°
Space group F-43m (No. 216)
Asymmetric unit:
1 Pa 0.000 0.000 0.000 (multiplicity 4)
2 Zn 0.000 0.000 0.500 (multiplicity 4)
3 Ni 0.250 0.250 0.250 (multiplicity 4)
4 Ag 0.250 0.250 0.750 (multiplicity 4)

---

- Number 2 is which compound?
  YMg2Al